P:
DFT (PBE-GGA) results for a geometry-optimized LiCaLa2 structure.

- D(E_F): 1.364 states/eV/atom

```
data_LiCaLa2
_chemical_formula_sum 'Li2 Ca2 La4'
_cell_length_a 13.736
_cell_length_b 3.708
_cell_length_c 5.773
_cell_angle_alpha 90.00
_cell_angle_beta 114.69
_cell_angle_gamma 90.00
_symmetry_space_group_name_H-M 'C 1 2/m 1'
_symmetry_Int_Tables_number 12
loop_
_symmetry_equiv_pos_as_xyz
'x,y,z'
'-x,-y,-z'
'-x,y,-z'
'x,-y,z'
'x+1/2,y+1/2,z'
'-x+1/2,-y+1/2,-z'
'-x+1/2,y+1/2,-z'
'x+1/2,-y+1/2,z'
loop_
_atom_site_label
_atom_site_fract_x
_atom_site_fract_y
_atom_site_fract_z
Li1 0.000 0.000 0.000
Ca1 0.000 0.500 0.500
La1 0.222 0.500 0.222
```


Q:
DFT (PBE-GGA) results for a geometry-optimized LiCaLa2 structure.

- D(E_F): 1.400 states/eV/atom

```
data_LiCaLa2
_chemical_formula_sum 'Li1 Ca1 La2'
_cell_length_a 4.901
_cell_length_b 4.901
_cell_length_c 5.786
_cell_angle_alpha 90.00
_cell_angle_beta 90.00
_cell_angle_gamma 90.00
_symmetry_space_group_name_H-M 'P 4/m m m'
_symmetry_Int_Tables_number 123
_symmetry_space_group_name_Hall '-P 4 2'
loop_
_atom_site_label
_atom_site_fract_x
_atom_site_fract_y
_atom_site_fract_z
Li1 0.000 0.000 0.000
Ca1 0.500 0.500 0.000
La1 0.000 0.500 0.500
```


R:
DFT (PBE-GGA) results for a geometry-optimized LiCaLa2 structure.

- D(E_F): 1.376 states/eV/atom

```
data_LiCaLa2
_chemical_formula_sum 'Li2 Ca2 La4'
_cell_length_a 4.029
_cell_length_b 5.965
_cell_length_c 11.645
_cell_angle_alpha 90.00
_cell_angle_beta 90.00
_cell_angle_gamma 90.00
_symmetry_space_group_name_H-M 'C m m 2'
_symmetry_Int_Tables_number 35
loop_
_symmetry_equiv_pos_as_xyz
'x,y,z'
'-x,-y,z'
'-x,y,z'
'x,-y,z'
'x+1/2,y+1/2,z'
'-x+1/2,-y+1/2,z'
'-x+1/2,y+1/2,z'
'x+1/2,-y+1/2,z'
loop_
_atom_site_label
_atom_site_fract_x
_atom_site_fract_y
_atom_site_fract_z
Li1 0.000 0.000 0.000
Ca1 0.000 0.500 0.231
La1 0.000 0.000 0.505
La2 0.000 0.500 0.766
```


Stability, lowest: Q


P:
DFT (PBE-GGA) results for a geometry-optimized Li2CaLa structure.

- D(E_F): 1.331 states/eV/atom

```
data_Li2CaLa
_chemical_formula_sum 'Li4 Ca2 La2'
_cell_length_a 12.251
_cell_length_b 3.558
_cell_length_c 5.863
_cell_angle_alpha 90.00
_cell_angle_beta 110.01
_cell_angle_gamma 90.00
_symmetry_space_group_name_H-M 'C 1 m 1'
_symmetry_Int_Tables_number 8
loop_
_symmetry_equiv_pos_as_xyz
'x,y,z'
'x,-y,z'
'x+1/2,y+1/2,z'
'x+1/2,-y+1/2,z'
loop_
_atom_site_label
_atom_site_fract_x
_atom_site_fract_y
_atom_site_fract_z
Li1 0.000 0.000 0.000
Li2 0.187 0.500 0.272
Ca1 0.240 0.000 0.817
La1 0.446 0.000 0.466
```


Q:
DFT (PBE-GGA) results for a geometry-optimized Li2CaLa structure.

- D(E_F): 0.918 states/eV/atom

```
data_Li2CaLa
_chemical_formula_sum 'Li2 Ca1 La1'
_cell_length_a 3.744
_cell_length_b 3.744
_cell_length_c 8.468
_cell_angle_alpha 90.00
_cell_angle_beta 90.00
_cell_angle_gamma 90.00
_symmetry_space_group_name_H-M 'P 4 m m'
_symmetry_Int_Tables_number 99
loop_
_symmetry_equiv_pos_as_xyz
'x,y,z'
'-y,x,z'
'-x,-y,z'
'y,-x,z'
'-x,y,z'
'y,x,z'
'x,-y,z'
'-y,-x,z'
loop_
_atom_site_label
_atom_site_fract_x
_atom_site_fract_y
_atom_site_fract_z
Li1 0.000 0.000 0.000
Li2 0.500 0.500 0.153
Ca1 0.000 0.000 0.413
La1 0.500 0.500 0.743
```


R:
DFT (PBE-GGA) results for a geometry-optimized Li2CaLa structure.

- D(E_F): 1.304 states/eV/atom

```
data_Li2CaLa
_chemical_formula_sum 'Li8 Ca4 La4'
_cell_length_a 7.825
_cell_length_b 7.825
_cell_length_c 7.825
_cell_angle_alpha 90.00
_cell_angle_beta 90.00
_cell_angle_gamma 90.00
_symmetry_space_group_name_H-M 'F m -3 m'
_symmetry_Int_Tables_number 225
_symmetry_space_group_name_Hall '-F 4 2 3'
loop_
_atom_site_label
_atom_site_fract_x
_atom_site_fract_y
_atom_site_fract_z
Li1 0.250 0.250 0.250
Ca1 0.000 0.000 0.000
La1 0.000 0.000 0.500
```


S:
DFT (PBE-GGA) results for a geometry-optimized Li2CaLa structure.

- D(E_F): 1.164 states/eV/atom

```
data_Li2CaLa
_chemical_formula_sum 'Li4 Ca2 La2'
_cell_length_a 4.715
_cell_length_b 4.715
_cell_length_c 11.175
_cell_angle_alpha 90.00
_cell_angle_beta 90.00
_cell_angle_gamma 90.00
_symmetry_space_group_name_H-M 'I -4 m 2'
_symmetry_Int_Tables_number 119
_symmetry_space_group_name_Hall 'I -4 -2'
loop_
_atom_site_label
_atom_site_fract_x
_atom_site_fract_y
_atom_site_fract_z
Li1 0.000 0.000 0.000
Li2 0.000 0.500 0.250
Ca1 0.000 0.500 0.750
La1 0.000 0.000 0.500
```


Stability, lowest: S


P:
DFT (PBE-GGA) results for a geometry-optimized LiCaLa structure.

- D(E_F): 1.026 states/eV/atom

```
data_LiCaLa
_chemical_formula_sum 'Li2 Ca2 La2'
_cell_length_a 6.172
_cell_length_b 3.709
_cell_length_c 9.202
_cell_angle_alpha 90.00
_cell_angle_beta 108.83
_cell_angle_gamma 90.00
_symmetry_space_group_name_H-M 'P 1 m 1'
_symmetry_Int_Tables_number 6
loop_
_symmetry_equiv_pos_as_xyz
'x,y,z'
'x,-y,z'
loop_
_atom_site_label
_atom_site_fract_x
_atom_site_fract_y
_atom_site_fract_z
Li1 0.000 0.000 0.000
Li2 0.325 0.000 0.628
Ca1 0.028 0.500 0.317
Ca2 0.834 0.500 0.668
La1 0.489 0.500 0.971
La2 0.515 0.000 0.286
```


Q:
DFT (PBE-GGA) results for a geometry-optimized LiCaLa structure.

- D(E_F): 0.815 states/eV/atom

```
data_LiCaLa
_chemical_formula_sum 'Li2 Ca2 La2'
_cell_length_a 3.767
_cell_length_b 5.748
_cell_length_c 9.274
_cell_angle_alpha 90.00
_cell_angle_beta 101.68
_cell_angle_gamma 90.00
_symmetry_space_group_name_H-M 'P 1 21/m 1'
_symmetry_Int_Tables_number 11
loop_
_symmetry_equiv_pos_as_xyz
'x,y,z'
'-x,-y,-z'
'-x,y+1/2,-z'
'x,-y+1/2,z'
loop_
_atom_site_label
_atom_site_fract_x
_atom_site_fract_y
_atom_site_fract_z
Li1 0.071 0.250 0.139
Ca1 0.413 0.250 0.824
La1 0.275 0.750 0.552
```


Stability, lowest: P


P:
DFT (PBE-GGA) results for a geometry-optimized Li2Ca2La structure.

- D(E_F): 1.392 states/eV/atom

```
data_Li2Ca2La
_chemical_formula_sum 'Li4 Ca4 La2'
_cell_length_a 8.942
_cell_length_b 8.942
_cell_length_c 4.096
_cell_angle_alpha 90.00
_cell_angle_beta 90.00
_cell_angle_gamma 90.00
_symmetry_space_group_name_H-M 'P 4/m b m'
_symmetry_Int_Tables_number 127
_symmetry_space_group_name_Hall '-P 4 2ab'
loop_
_atom_site_label
_atom_site_fract_x
_atom_site_fract_y
_atom_site_fract_z
Li1 0.123 0.377 0.000
Ca1 0.172 0.672 0.500
La1 0.000 0.000 0.000
```


Q:
DFT (PBE-GGA) results for a geometry-optimized Li2Ca2La structure.

- D(E_F): 0.738 states/eV/atom

```
data_Li2Ca2La
_chemical_formula_sum 'Li4 Ca4 La2'
_cell_length_a 3.807
_cell_length_b 3.807
_cell_length_c 22.633
_cell_angle_alpha 90.00
_cell_angle_beta 90.00
_cell_angle_gamma 90.00
_symmetry_space_group_name_H-M 'I 4/m m m'
_symmetry_Int_Tables_number 139
_symmetry_space_group_name_Hall '-I 4 2'
loop_
_atom_site_label
_atom_site_fract_x
_atom_site_fract_y
_atom_site_fract_z
Li1 0.000 0.500 0.250
Ca1 0.000 0.000 0.124
La1 0.000 0.000 0.500
```


Stability, lowest: Q


P:
DFT (PBE-GGA) results for a geometry-optimized CaLa2Lu structure.

- D(E_F): 1.421 states/eV/atom

```
data_CaLa2Lu
_chemical_formula_sum 'Ca1 La2 Lu1'
_cell_length_a 5.949
_cell_length_b 5.949
_cell_length_c 4.090
_cell_angle_alpha 90.00
_cell_angle_beta 90.00
_cell_angle_gamma 90.00
_symmetry_space_group_name_H-M 'P 4/m m m'
_symmetry_Int_Tables_number 123
_symmetry_space_group_name_Hall '-P 4 2'
loop_
_atom_site_label
_atom_site_fract_x
_atom_site_fract_y
_atom_site_fract_z
Ca1 0.000 0.000 0.000
La1 0.000 0.500 0.500
Lu1 0.500 0.500 0.000
```


Q:
DFT (PBE-GGA) results for a geometry-optimized CaLa2Lu structure.

- D(E_F): 1.312 states/eV/atom

```
data_CaLa2Lu
_chemical_formula_sum 'Ca1 La2 Lu1'
_cell_length_a 4.140
_cell_length_b 4.140
_cell_length_c 8.641
_cell_angle_alpha 90.00
_cell_angle_beta 90.00
_cell_angle_gamma 90.00
_symmetry_space_group_name_H-M 'P 4/m m m'
_symmetry_Int_Tables_number 123
_symmetry_space_group_name_Hall '-P 4 2'
loop_
_atom_site_label
_atom_site_fract_x
_atom_site_fract_y
_atom_site_fract_z
Ca1 0.000 0.000 0.000
La1 0.500 0.500 0.276
Lu1 0.000 0.000 0.500
```


Stability, lowest: P


P:
DFT (PBE-GGA) results for a geometry-optimized CaLaMg2 structure.

- D(E_F): 1.112 states/eV/atom

```
data_CaLaMg2
_chemical_formula_sum 'Ca2 La2 Mg4'
_cell_length_a 12.719
_cell_length_b 3.555
_cell_length_c 5.909
_cell_angle_alpha 90.00
_cell_angle_beta 110.34
_cell_angle_gamma 90.00
_symmetry_space_group_name_H-M 'C 1 m 1'
_symmetry_Int_Tables_number 8
loop_
_symmetry_equiv_pos_as_xyz
'x,y,z'
'x,-y,z'
'x+1/2,y+1/2,z'
'x+1/2,-y+1/2,z'
loop_
_atom_site_label
_atom_site_fract_x
_atom_site_fract_y
_atom_site_fract_z
Ca1 0.000 0.000 0.000
La1 0.291 0.500 0.350
Mg1 0.044 0.500 0.531
Mg2 0.245 0.000 0.824
```


Q:
DFT (PBE-GGA) results for a geometry-optimized CaLaMg2 structure.

- D(E_F): 1.468 states/eV/atom

```
data_CaLaMg2
_chemical_formula_sum 'Ca4 La4 Mg8'
_cell_length_a 8.910
_cell_length_b 8.910
_cell_length_c 6.707
_cell_angle_alpha 90.00
_cell_angle_beta 90.00
_cell_angle_gamma 90.00
_symmetry_space_group_name_H-M 'I -4 2 d'
_symmetry_Int_Tables_number 122
_symmetry_space_group_name_Hall 'I -4 2bw'
loop_
_atom_site_label
_atom_site_fract_x
_atom_site_fract_y
_atom_site_fract_z
Ca1 0.000 0.000 0.000
La1 0.000 0.000 0.500
Mg1 0.243 0.250 0.125
```


Stability, lowest: Q